{"formula": "LiPaZnRh", "functional": "PBE-GGA", "state": "relaxed", "ef_mev_per_atom": -242, "cell": [[0.0000, 3.2711, 3.2711], [3.2711, 0.0000, 3.2711], [3.2711, 3.2711, 0.0000]], "species": ["Li", "Pa", "Zn", "Rh"], "frac_coords": [[0.0000, 0.0000, 0.0000], [0.7500, 0.7500, 0.7500], [0.2500, 0.2500, 0.2500], [0.5000, 0.5000, 0.5000]]}

---

{"formula": "LiPaRu2", "functional": "PBE-GGA", "state": "relaxed", "ef_mev_per_atom": -341, "polymorph_energy_kj_per_mol_atoms": 0.6, "cell": [[0.0000, 3.1992, 3.1992], [3.1992, 0.0000, 3.1992], [3.1992, 3.1992, 0.0000]], "species": ["Li", "Pa", "Ru", "Ru"], "frac_coords": [[0.0000, 0.0000, 0.0000], [0.5000, 0.5000, 0.5000], [0.2500, 0.2500, 0.2500], [0.7500, 0.7500, 0.7500]]}

---

{"formula": "LiPaRu", "functional": "PBE-GGA", "state": "relaxed", "ef_mev_per_atom": -8, "polymorph_energy_kj_per_mol_atoms": 8.7, "cell": [[-1.6863, 1.6863, 5.3312], [1.6863, -1.6863, 5.3312], [1.6863, 1.6863, -5.3312]], "species": ["Li", "Pa", "Ru"], "frac_coords": [[0.0000, 0.0000, 0.0000], [0.7215, 0.7215, 0.0000], [0.3464, 0.3464, 0.0000]]}

---

{"formula": "LiPaRu2", "functional": "PBE-GGA", "state": "relaxed", "ef_mev_per_atom": -347, "polymorph_energy_kj_per_mol_atoms": 0.0, "cell": [[4.1785, 0.0000, 0.0000], [0.0000, 4.1785, 0.0000], [0.0000, 0.0000, 3.6934]], "species": ["Li", "Pa", "Ru", "Ru"], "frac_coords": [[0.0000, 0.0000, 0.0000], [0.5000, 0.5000, 0.0000], [0.0000, 0.5000, 0.5000], [0.5000, 0.0000, 0.5000]]}

---

{"formula": "LiPaRu", "functional": "PBE-GGA", "state": "relaxed", "ef_mev_per_atom": 24, "polymorph_energy_kj_per_mol_atoms": 11.9, "cell": [[4.3404, 0.0000, 0.0000], [-2.1702, 3.7589, 0.0000], [0.0000, 0.0000, 3.2846]], "species": ["Li", "Pa", "Ru"], "frac_coords": [[0.0000, 0.0000, 0.0000], [0.3333, 0.6667, 0.5000], [0.6667, 0.3333, 0.0000]]}

---

{"formula": "LiPaRu", "functional": "PBE-GGA", "state": "relaxed", "ef_mev_per_atom": -99, "polymorph_energy_kj_per_mol_atoms": 0.0, "cell": [[5.1786, 0.0000, 0.0000], [0.0000, 5.1786, 0.0000], [0.0000, 0.0000, 5.3957]], "species": ["Li", "Li", "Pa", "Pa", "Ru", "Ru"], "frac_coords": [[0.2500, 0.2500, 0.0646], [0.7500, 0.7500, 0.9354], [0.2500, 0.7500, 0.5000], [0.7500, 0.2500, 0.5000], [0.2500, 0.2500, 0.5694], [0.7500, 0.7500, 0.4306]]}

---

{"formula": "LiPa2Ru", "functional": "PBE-GGA", "state": "relaxed", "ef_mev_per_atom": 63, "cell": [[0.0000, 3.4332, 3.4332], [3.4332, 0.0000, 3.4332], [3.4332, 3.4332, 0.0000]], "species": ["Li", "Pa", "Pa", "Ru"], "frac_coords": [[0.0000, 0.0000, 0.0000], [0.2500, 0.2500, 0.2500], [0.7500, 0.7500, 0.7500], [0.5000, 0.5000, 0.5000]]}

---

{"formula": "LiPaSbRu", "functional": "PBE-GGA", "state": "relaxed", "formation_energy_uncorrected_ev_per_atom": -0.370, "cell": [[0.0000, 3.3523, 3.3523], [3.3523, 0.0000, 3.3523], [3.3523, 3.3523, 0.0000]], "species": ["Li", "Pa", "Sb", "Ru"], "frac_coords": [[0.0000, 0.0000, 0.0000], [0.2500, 0.2500, 0.2500], [0.7500, 0.7500, 0.7500], [0.5000, 0.5000, 0.5000]]}

---

We obtain DOS at the Fermi energy values of 5.3 1.5 3.8 3.2 3.6 1.4 7.6 3.6 states/eV/f.u. for the records listed above, in that order.